Record 1
DFT (PBE) results for a geometry-optimized NdErRu structure.

Cell lengths 6.837, 6.837, 6.837 Å; angles 90.00, 90.00, 90.00 degrees
Space group F-43m (No. 216)
Unique sites:
Nd 0.000 0.000 0.000 (multiplicity 4)
Er 0.000 0.000 0.500 (multiplicity 4)
Ru 0.250 0.250 0.250 (multiplicity 4)

Results
**Formation enthalpy at 0 K**: -0.215 eV/atom
**Density**: 8.57 g/cm3

Record 2
DFT (PBE) results for a geometry-optimized Nd3ErRu structure.

Cell lengths 9.497, 7.558, 8.759 Å; angles 90.00, 90.00, 90.00 degrees
Space group Ima2 (No. 46)
Unique sites:
Nd 0.040 0.249 0.000 (multiplicity 8)
Nd 0.250 0.519 0.751 (multiplicity 4)
Er 0.250 0.529 0.249 (multiplicity 4)
Ru 0.250 0.747 0.500 (multiplicity 4)

Results
**Formation enthalpy at 0 K**: -0.121 eV/atom
**Density**: 7.41 g/cm3

Sequential polymorph energy (0 for the lowest one) output: 69; 0 meV/atom
Sequential total moment output: 0.00; 0.00 Bohr magnetons per cell